Record 1
The following is a DFT calculation (PBE) of a relaxed SmGdInCo crystal.

Cell: 5.1705 5.1705 5.1705 Å, 60.00 60.00 60.00°
Last column: nearest neighbours and their distance in Å.
Fractional coordinates of all 4 atoms:
1 Sm 0.0000 0.0000 0.0000  4 In 3.17, 4 Co 3.17
2 Gd 0.5000 0.5000 0.5000  4 In 3.17, 4 Co 3.17
3 In 0.7500 0.7500 0.7500  4 Gd 3.17, 4 Sm 3.17
4 Co 0.2500 0.2500 0.2500  4 Gd 3.17, 4 Sm 3.17

Properties
- Crystal system: cubic
- Total moment: 5.90 μB per formula unit
- Final energy: -7.3227 eV/atom
- Symmetry: No. 216



Record 2
The following is a DFT calculation (PBE) of a relaxed CaMgSn3 crystal.

Cell: 7.7658 7.7658 6.1248 Å, 90.05 90.05 49.48°
Last column: nearest neighbours and their distance in Å.
Fractional coordinates of all 10 atoms:
1 Ca 0.1006 0.1006 0.2503  8 Sn 3.45-3.66, 4 Mg 3.86
2 Ca 0.8994 0.8994 0.7497  8 Sn 3.45-3.66, 4 Mg 3.86
3 Mg 0.5000 0.5000 0.0000  6 Sn 2.96-3.01, 2 Mg 3.06
4 Mg 0.5000 0.5000 0.5000  6 Sn 2.96-3.01, 2 Mg 3.06
5 Sn 0.1055 0.6265 0.2496  2 Mg 2.96, 2 Sn 3.01-3.11
6 Sn 0.3163 0.3163 0.7485  2 Mg 3.01, 2 Sn 3.01
7 Sn 0.3735 0.8945 0.7504  2 Mg 2.96, 2 Sn 3.01-3.11
8 Sn 0.6265 0.1055 0.2496  2 Mg 2.96, 2 Sn 3.01-3.11
9 Sn 0.6837 0.6837 0.2515  2 Mg 3.01, 2 Sn 3.01
10 Sn 0.8945 0.3735 0.7504  2 Mg 2.96, 2 Sn 3.01-3.11

Properties
- Crystal system: monoclinic
- Total moment: 0.00 μB per formula unit
- Final energy: -3.3622 eV/atom
- Symmetry: No. 12



Record 3
The following is a DFT calculation (PBE) of a relaxed CaLa5Nd4 crystal.

Cell: 4.3381 4.3381 19.7335 Å, 90.00 90.00 90.00°
Last column: nearest neighbours and their distance in Å.
Fractional coordinates of all 10 atoms:
1 Ca 0.0000 0.0000 0.0000  8 La 3.77, 2 Nd 4.19
2 La 0.5000 0.5000 0.1114  4 Nd 3.66, 4 Ca 3.77, 1 La 3.85
3 La 0.5000 0.5000 0.3065  8 Nd 3.58-3.59, 2 La 3.82-3.85
4 La 0.5000 0.5000 0.5000  8 Nd 3.64, 2 La 3.82
5 La 0.5000 0.5000 0.6935  8 Nd 3.58-3.59, 2 La 3.82-3.85
6 La 0.5000 0.5000 0.8886  4 Nd 3.66, 4 Ca 3.77, 1 La 3.85
7 Nd 0.0000 0.0000 0.2123  8 La 3.59-3.66, 1 Nd 3.71
8 Nd 0.0000 0.0000 0.4004  8 La 3.58-3.64, 2 Nd 3.71-3.93
9 Nd 0.0000 0.0000 0.5996  8 La 3.58-3.64, 2 Nd 3.71-3.93
10 Nd 0.0000 0.0000 0.7877  8 La 3.59-3.66, 1 Nd 3.71

Properties
- Crystal system: tetragonal
- Total moment: 0.00 μB per formula unit
- Excess energy over the best structure of this formula in the dataset: 75.9 meV/atom
- Symmetry: No. 123



Record 4
The following is a DFT calculation (PBE) of a relaxed Dy6Tl5Ag crystal.

Cell: 8.4574 8.4574 7.5027 Å, 90.00 90.00 143.14°
Last column: nearest neighbours and their distance in Å.
Fractional coordinates of all 12 atoms:
1 Dy 0.0000 0.0000 0.2448  6 Tl 3.19-3.30, 2 Ag 3.24
2 Dy 0.0000 0.0000 0.7552  6 Tl 3.19-3.30, 2 Ag 3.24
3 Dy 0.3358 0.6642 0.2459  1 Ag 3.22, 7 Tl 3.25-3.33
4 Dy 0.3358 0.6642 0.7541  1 Ag 3.22, 7 Tl 3.25-3.33
5 Dy 0.6642 0.3358 0.2459  1 Ag 3.22, 7 Tl 3.25-3.33
6 Dy 0.6642 0.3358 0.7541  1 Ag 3.22, 7 Tl 3.25-3.33
7 Tl 0.1629 0.8371 0.0000  8 Dy 3.19-3.33
8 Tl 0.1675 0.8325 0.5000  8 Dy 3.28-3.31
9 Tl 0.5000 0.5000 0.5000  8 Dy 3.25-3.29
10 Tl 0.8325 0.1675 0.5000  8 Dy 3.28-3.31
11 Tl 0.8371 0.1629 0.0000  8 Dy 3.19-3.33
12 Ag 0.5000 0.5000 0.0000  8 Dy 3.22-3.24

Properties
- Crystal system: orthorhombic
- Total moment: 0.00 μB per formula unit
- Excess energy over the best structure of this formula in the dataset: 0.0 meV/atom
- Symmetry: No. 65



Record 5
The following is a DFT calculation (PBE) of a relaxed LaPbAu2 crystal.

Cell: 4.2190 4.6729 5.7454 Å, 90.00 110.93 90.00°
Last column: nearest neighbours and their distance in Å.
Fractional coordinates of all 4 atoms:
1 La 0.0000 0.0000 0.0000  7 Au 3.05-3.20
2 Pb 0.7323 0.5000 0.4496  7 Au 2.98-3.21
3 Au 0.2909 0.0000 0.5691  2 Au 2.91, 3 La 3.05-3.13, 4 Pb 3.21
4 Au 0.4480 0.5000 0.8939  2 Au 2.91, 3 Pb 2.98-3.18, 4 La 3.20

Properties
- Crystal system: monoclinic
- Total moment: 0.00 μB per formula unit
- Final energy: -4.3317 eV/atom
- Symmetry: No. 6



Record 6
The following is a DFT calculation (PBE) of a relaxed ZnCr2Si crystal.

Cell: 4.2123 4.2123 2.9609 Å, 90.00 90.00 90.00°
Last column: nearest neighbours and their distance in Å.
Fractional coordinates of all 4 atoms:
1 Zn 0.0000 0.0000 0.0000  8 Cr 2.57
2 Cr 0.0000 0.5000 0.5000  4 Si 2.57, 4 Zn 2.57
3 Cr 0.5000 0.0000 0.5000  4 Si 2.57, 4 Zn 2.57
4 Si 0.5000 0.5000 0.0000  8 Cr 2.57

Properties
- Crystal system: tetragonal
- Total moment: 5.10 μB per formula unit
- Formation energy without anion corrections: 105 meV per atom
- Symmetry: No. 123



Record 7
The following is a DFT calculation (PBE) of a relaxed P2PdW crystal.

Cell: 7.7696 7.7696 7.7696 Å, 22.39 22.39 22.39°
Last column: nearest neighbours and their distance in Å.
Fractional coordinates of all 4 atoms:
1 P 0.2454 0.2454 0.2454  3 W 2.50, 3 Pd 2.65
2 P 0.7546 0.7546 0.7546  3 W 2.50, 3 Pd 2.65
3 Pd 0.0000 0.0000 0.0000  6 P 2.65
4 W 0.5000 0.5000 0.5000  6 P 2.50

Properties
- Crystal system: trigonal
- Total moment: 0.00 μB per formula unit
- Excess energy over the best structure of this formula in the dataset: 0.0 meV/atom
- Symmetry: No. 166



Record 8
The following is a DFT calculation (PBE) of a relaxed YInTc2Ag crystal.

Cell: 5.1747 5.1747 4.9517 Å, 90.00 90.00 90.00°
Last column: nearest neighbours and their distance in Å.
Fractional coordinates of all 5 atoms:
1 Y 0.0000 0.0000 0.0000  8 Tc 3.58, 4 Ag 3.66
2 In 0.5000 0.5000 0.5000  2 Ag 2.48, 4 Tc 2.59
3 Tc 0.0000 0.5000 0.5000  2 In 2.59
4 Tc 0.5000 0.0000 0.5000  2 In 2.59
5 Ag 0.5000 0.5000 0.0000  2 In 2.48

Properties
- Crystal system: tetragonal
- Total moment: 3.21 μB per formula unit
- Final energy: -5.2981 eV/atom
- Symmetry: No. 123



Record 9
The following is a DFT calculation (PBE) of a relaxed RbMg2TlIr crystal.

Cell: 5.1960 5.1960 5.3372 Å, 90.00 90.00 90.00°
Last column: nearest neighbours and their distance in Å.
Fractional coordinates of all 5 atoms:
1 Rb 0.0000 0.0000 0.0000  4 Tl 3.67, 8 Mg 3.72
2 Mg 0.0000 0.5000 0.5000  2 Ir 2.60
3 Mg 0.5000 0.0000 0.5000  2 Ir 2.60
4 Tl 0.5000 0.5000 0.0000  2 Ir 2.67
5 Ir 0.5000 0.5000 0.5000  4 Mg 2.60, 2 Tl 2.67

Properties
- Crystal system: tetragonal
- Total moment: 0.00 μB per formula unit
- Final energy: -3.1771 eV/atom
- Symmetry: No. 123



Record 10
The following is a DFT calculation (PBE) of a relaxed GdPuAl4 crystal.

Cell: 5.5734 5.5734 5.5734 Å, 60.00 60.00 60.00°
Last column: nearest neighbours and their distance in Å.
Fractional coordinates of all 6 atoms:
1 Gd 0.0000 0.0000 0.0000  12 Al 3.27, 4 Pu 3.41
2 Pu 0.2500 0.2500 0.2500  12 Al 3.27, 4 Gd 3.41
3 Al 0.1261 0.6246 0.6246  6 Al 2.78-2.79
4 Al 0.6246 0.1261 0.6246  6 Al 2.78-2.79
5 Al 0.6246 0.6246 0.1261  6 Al 2.78-2.79
6 Al 0.6246 0.6246 0.6246  6 Al 2.78-2.79

Properties
- Crystal system: cubic
- Total moment: 13.25 μB per formula unit
- Final energy: -7.6257 eV/atom
- Symmetry: No. 216



Record 11
The following is a DFT calculation (PBE) of a relaxed LaIn2RhI crystal.

Cell: 5.2407 5.2407 5.4189 Å, 90.00 90.00 90.00°
Last column: nearest neighbours and their distance in Å.
Fractional coordinates of all 5 atoms:
1 La 0.0000 0.0000 0.0000  2 Rh 2.71
2 In 0.0000 0.5000 0.5000  2 Rh 2.62
3 In 0.5000 0.0000 0.5000  2 Rh 2.62
4 Rh 0.0000 0.0000 0.5000  4 In 2.62, 2 La 2.71
5 I 0.5000 0.5000 0.0000  4 La 3.71, 8 In 3.77

Properties
- Crystal system: tetragonal
- Total moment: 0.00 μB per formula unit
- Formation energy without anion corrections: -683 meV per atom
- Symmetry: No. 123



Record 12
The following is a DFT calculation (PBE) of a relaxed ThIn2PbSe4 crystal.

Cell: 7.5513 4.3586 8.0049 Å, 90.00 107.96 90.00°
Last column: nearest neighbours and their distance in Å.
Fractional coordinates of all 8 atoms:
1 Th 0.0000 0.0000 0.0000  6 Se 2.90-2.96
2 In 0.0000 0.5000 0.5000  6 Se 3.22-3.24
3 In 0.5000 0.0000 0.5000  6 Se 3.37-3.40
4 Pb 0.5000 0.5000 0.0000  6 Se 3.10
5 Se 0.2224 0.5000 0.2159  2 Th 2.96, 1 Pb 3.10, 1 In 3.22
6 Se 0.2391 0.0000 0.7781  1 Th 2.90, 2 Pb 3.10, 2 In 3.24
7 Se 0.7609 0.0000 0.2219  1 Th 2.90, 2 Pb 3.10, 2 In 3.24
8 Se 0.7776 0.5000 0.7841  2 Th 2.96, 1 Pb 3.10, 1 In 3.22

Properties
- Crystal system: monoclinic
- Total moment: 0.00 μB per formula unit
- Formation energy without anion corrections: -892 meV per atom
- Symmetry: No. 10



Record 13
The following is a DFT calculation (PBE) of a relaxed PmY2PuP4 crystal.

Cell: 6.9788 4.0449 6.9901 Å, 90.00 109.51 90.00°
Last column: nearest neighbours and their distance in Å.
Fractional coordinates of all 8 atoms:
1 Pm 0.0000 0.0000 0.0000  6 P 2.88
2 Y 0.5000 0.0000 0.5000  6 P 2.83
3 Y 0.5000 0.5000 0.0000  6 P 2.87-2.88
4 Pu 0.0000 0.5000 0.5000  6 P 2.83
5 P 0.2485 0.0000 0.7437  3 Y 2.83-2.88, 2 Pu 2.83, 1 Pm 2.88
6 P 0.2528 0.5000 0.2566  3 Y 2.83-2.87, 1 Pu 2.83, 2 Pm 2.88
7 P 0.7472 0.5000 0.7434  3 Y 2.83-2.87, 1 Pu 2.83, 2 Pm 2.88
8 P 0.7515 0.0000 0.2563  3 Y 2.83-2.88, 2 Pu 2.83, 1 Pm 2.88

Properties
- Crystal system: monoclinic
- Total moment: 4.88 μB per formula unit
- Final energy: -8.1858 eV/atom
- Symmetry: No. 10



Record 14
The following is a DFT calculation (PBE) of a relaxed Th7Tl2Ru2 crystal.

Cell: 9.9606 9.9606 9.9606 Å, 158.33 66.47 118.03°
Last column: nearest neighbours and their distance in Å.
Fractional coordinates of all 11 atoms:
1 Th 0.0000 0.0000 0.0000  3 Tl 3.35-3.50, 2 Th 3.75
2 Th 0.3038 0.4457 0.8580  2 Ru 2.89
3 Th 0.3201 0.6445 0.6756  2 Ru 2.84
4 Th 0.5877 0.4457 0.1420  2 Ru 2.89
5 Th 0.6116 0.2709 0.3407  2 Ru 2.87
6 Th 0.9303 0.2709 0.6593  2 Ru 2.87
7 Th 0.9689 0.6445 0.3244  2 Ru 2.84
8 Tl 0.2879 0.7879 0.5000  8 Th 3.28-3.50
9 Tl 0.6735 0.6735 0.0000  7 Th 3.32-3.40
10 Ru 0.1796 0.9534 0.2261  6 Th 2.84-2.89
11 Ru 0.7273 0.9534 0.7739  6 Th 2.84-2.89

Properties
- Crystal system: orthorhombic
- Total moment: 0.00 μB per formula unit
- Final energy: -7.0806 eV/atom
- Symmetry: No. 44



Record 15
The following is a DFT calculation (PBE) of a relaxed K2NaHgH4 crystal.

Cell: 5.8584 5.8584 5.8584 Å, 114.66 114.66 99.53°
Last column: nearest neighbours and their distance in Å.
Fractional coordinates of all 8 atoms:
1 K 0.0000 0.0000 0.0000  4 H 2.76
2 K 0.7500 0.2500 0.5000  4 H 2.74
3 Na 0.2500 0.7500 0.5000  4 H 2.28
4 Hg 0.5000 0.5000 0.0000  4 H 2.04
5 H 0.2139 0.6271 0.0579  1 Hg 2.04, 1 Na 2.28
6 H 0.3729 0.4308 0.5868  1 Hg 2.04, 1 Na 2.28
7 H 0.5692 0.1560 0.9421  1 Hg 2.04, 1 Na 2.28
8 H 0.8440 0.7861 0.4132  1 Hg 2.04, 1 Na 2.28

Properties
- Crystal system: tetragonal
- Total moment: 0.00 μB per formula unit
- Final energy: -2.1008 eV/atom
- Symmetry: No. 82



Record 16
The following is a DFT calculation (PBE) of a relaxed Hf3CdSn crystal.

Cell: 8.2174 8.2174 5.3718 Å, 90.00 90.00 138.69°
Last column: nearest neighbours and their distance in Å.
Fractional coordinates of all 10 atoms:
1 Hf 0.0000 0.0000 0.0000  2 Hf 2.69, 2 Sn 3.01
2 Hf 0.0000 0.0000 0.5000  2 Hf 2.69, 2 Sn 3.01
3 Hf 0.0865 0.4029 0.2500  4 Hf 2.84-3.12, 3 Sn 2.96-3.05
4 Hf 0.4029 0.0865 0.7500  4 Hf 2.84-3.12, 3 Sn 2.96-3.05
5 Hf 0.5971 0.9135 0.2500  4 Hf 2.84-3.12, 3 Sn 2.96-3.05
6 Hf 0.9135 0.5971 0.7500  4 Hf 2.84-3.12, 3 Sn 2.96-3.05
7 Cd 0.4553 0.5447 0.7500  2 Cd 3.02, 4 Hf 3.27
8 Cd 0.5447 0.4553 0.2500  2 Cd 3.02, 4 Hf 3.27
9 Sn 0.1750 0.8250 0.2500  8 Hf 2.96-3.05
10 Sn 0.8250 0.1750 0.7500  8 Hf 2.96-3.05

Properties
- Crystal system: orthorhombic
- Total moment: 0.00 μB per formula unit
- Excess energy over the best structure of this formula in the dataset: 0.0 meV/atom
- Symmetry: No. 63



Record 17
The following is a DFT calculation (PBE) of a relaxed CrSeIN2 crystal.

Cell: 3.7873 3.7873 7.1549 Å, 90.00 90.00 90.00°
Last column: nearest neighbours and their distance in Å.
Fractional coordinates of all 5 atoms:
1 Cr 0.0000 0.0000 0.0000  4 I 2.68
2 Se 0.5000 0.5000 0.5000  4 N 1.89
3 I 0.5000 0.5000 0.0000  4 Cr 2.68
4 N 0.0000 0.5000 0.5000  2 Se 1.89
5 N 0.5000 0.0000 0.5000  2 Se 1.89

Properties
- Crystal system: tetragonal
- Total moment: 0.60 μB per formula unit
- Formation energy without anion corrections: 2004 meV per atom
- Excess energy over the best structure of this formula in the dataset: 1183.0 meV/atom
- Symmetry: No. 123



Record 18
The following is a DFT calculation (PBE) of a relaxed ScFeRu crystal.

Cell: 5.2635 5.2635 5.2635 Å, 145.45 145.45 49.67°
Last column: nearest neighbours and their distance in Å.
Fractional coordinates of all 3 atoms:
1 Sc 0.0000 0.0000 0.0000  5 Ru 2.79-3.07, 5 Fe 2.84-3.00
2 Fe 0.6861 0.6861 0.0000  4 Ru 2.56, 4 Sc 2.84
3 Ru 0.3218 0.3218 0.0000  4 Fe 2.56, 4 Sc 2.79

Properties
- Crystal system: tetragonal
- Total moment: 2.90 μB per formula unit
- Final energy: -8.1531 eV/atom
- Symmetry: No. 107



Record 19
The following is a DFT calculation (PBE) of a relaxed Pm2SmDyBi4 crystal.

Cell: 7.8763 4.5508 7.8779 Å, 90.00 109.47 90.00°
Last column: nearest neighbours and their distance in Å.
Fractional coordinates of all 8 atoms:
1 Pm 0.0000 0.0000 0.0000  6 Bi 3.22
2 Pm 0.0000 0.5000 0.5000  6 Bi 3.25
3 Sm 0.5000 0.0000 0.5000  6 Bi 3.21
4 Dy 0.5000 0.5000 0.0000  6 Bi 3.19
5 Bi 0.2532 0.5000 0.2486  1 Dy 3.19, 2 Sm 3.21, 3 Pm 3.22-3.25
6 Bi 0.2551 0.0000 0.7541  2 Dy 3.19, 1 Sm 3.21, 3 Pm 3.22-3.25
7 Bi 0.7449 0.0000 0.2459  2 Dy 3.19, 1 Sm 3.21, 3 Pm 3.22-3.25
8 Bi 0.7468 0.5000 0.7514  1 Dy 3.19, 2 Sm 3.21, 3 Pm 3.22-3.25

Properties
- Crystal system: monoclinic
- Total moment: 0.00 μB per formula unit
- Final energy: -5.2080 eV/atom
- Symmetry: No. 10